# MnAuS2

A relaxed structure of MnAuS2 (PBE, Alexandria via LeMat-Bulk).

```
MnAuS2
1.0
3.230 0.000 0.000
-1.615 2.797 0.000
0.000 0.000 7.482
Mn Au S
1 1 2
Cartesian
0.000 0.000 0.000
0.000 1.865 3.741
0.000 1.865 1.366
0.000 1.865 6.116
```

Output
* DFT total energy: -5.486 eV per atom
* symmetry: P-6m2
* formation energy (no corrections): -0.31 eV/atom
* crystal system: hexagonal